(1)
VASP calculation (GGA-PBE) on an optimized crystal structure of TlAgAs. Values from VASP.

Cell and atoms, written as Quantum ESPRESSO input:
```
&SYSTEM
  ibrav = 0, nat = 3, ntyp = 3
/
ATOMIC_SPECIES
As 74.92 As.upf
Tl 204.38 Tl.upf
Ag 107.87 Ag.upf
CELL_PARAMETERS angstrom
4.456 0.000 0.000
-2.228 3.859 0.000
0.000 0.000 4.472
ATOMIC_POSITIONS crystal
As 0.333 0.667 0.166
Tl 0.667 0.333 0.667
Ag 0.000 0.000 0.167
```

Calculated values
**Space-group type**: P-6m2
**Fermi-level density of states**: 1.2 states/eV/cell

(2)
VASP calculation (GGA-PBE) on an optimized crystal structure of TlAgAs. Values from VASP.

Cell and atoms, written as Quantum ESPRESSO input:
```
&SYSTEM
  ibrav = 0, nat = 6, ntyp = 3
/
ATOMIC_SPECIES
Ag 107.87 Ag.upf
As 74.92 As.upf
Tl 204.38 Tl.upf
CELL_PARAMETERS angstrom
4.709 0.000 0.000
2.354 5.657 -0.882
2.354 1.134 5.258
ATOMIC_POSITIONS crystal
Ag 0.435 0.748 0.382
Ag 0.565 0.252 0.618
As 0.087 0.051 0.776
As 0.913 0.949 0.224
Tl 0.769 0.652 0.811
Tl 0.231 0.348 0.189
```

Calculated values
**Space-group type**: C2/m
**Fermi-level density of states**: 2.0 states/eV/cell

Bottom line: (2), by a margin of 63 meV/atom.

(1)
VASP calculation (GGA-PBE) on an optimized crystal structure of AlCuBr2. Values from VASP.

Cell and atoms, written as Quantum ESPRESSO input:
```
&SYSTEM
  ibrav = 0, nat = 8, ntyp = 3
/
ATOMIC_SPECIES
Br 79.90 Br.upf
Al 26.98 Al.upf
Cu 63.55 Cu.upf
CELL_PARAMETERS angstrom
-0.080 -2.778 6.776
-1.998 -6.511 -2.693
2.780 -5.663 1.669
ATOMIC_POSITIONS crystal
Br 0.059 0.625 0.250
Br 0.691 0.125 0.250
Br 0.375 0.309 0.750
Br 0.875 0.941 0.750
Al 0.250 0.750 0.500
Al 0.500 0.500 0.000
Cu 0.750 0.250 0.500
Cu 0.000 0.000 0.000
```

Calculated values
**Space-group type**: I-42d
**Fermi-level density of states**: 0.0 states/eV/cell

(2)
VASP calculation (GGA-PBE) on an optimized crystal structure of AlCuBr2. Values from VASP.

Cell and atoms, written as Quantum ESPRESSO input:
```
&SYSTEM
  ibrav = 0, nat = 4, ntyp = 3
/
ATOMIC_SPECIES
Br 79.90 Br.upf
Cu 63.55 Cu.upf
Al 26.98 Al.upf
CELL_PARAMETERS angstrom
-0.119 -4.892 -1.140
-1.852 -3.305 3.300
-4.394 -2.262 -0.907
ATOMIC_POSITIONS crystal
Br 0.250 0.250 0.250
Br 0.750 0.750 0.750
Cu 0.500 0.500 0.500
Al 0.000 0.000 0.000
```

Calculated values
**Space-group type**: Fm-3m
**Fermi-level density of states**: 0.0 states/eV/cell

Bottom line: (1), by a margin of 283 meV/atom.

(1)
VASP calculation (GGA-PBE) on an optimized crystal structure of Tb2DyTe. Values from VASP.

Cell and atoms, written as Quantum ESPRESSO input:
```
&SYSTEM
  ibrav = 0, nat = 4, ntyp = 3
/
ATOMIC_SPECIES
Tb 158.93 Tb.upf
Dy 162.50 Dy.upf
Te 127.60 Te.upf
CELL_PARAMETERS angstrom
3.894 0.000 0.000
1.947 3.372 0.000
1.947 1.124 9.758
ATOMIC_POSITIONS crystal
Tb 0.073 0.073 0.782
Tb 0.261 0.261 0.217
Dy 0.500 0.500 0.501
Te 0.667 0.667 0.000
```

Calculated values
**Space-group type**: R3m
**Fermi-level density of states**: 4.9 states/eV/cell

(2)
VASP calculation (GGA-PBE) on an optimized crystal structure of Tb2DyTe. Values from VASP.

Cell and atoms, written as Quantum ESPRESSO input:
```
&SYSTEM
  ibrav = 0, nat = 4, ntyp = 3
/
ATOMIC_SPECIES
Tb 158.93 Tb.upf
Te 127.60 Te.upf
Dy 162.50 Dy.upf
CELL_PARAMETERS angstrom
-2.110 1.263 2.961
0.963 -0.964 3.600
5.368 8.218 2.822
ATOMIC_POSITIONS crystal
Tb 0.739 0.739 0.783
Tb 0.261 0.261 0.217
Te 0.000 0.000 0.000
Dy 0.500 0.500 0.500
```

Calculated values
**Space-group type**: R-3m
**Fermi-level density of states**: 3.7 states/eV/cell

Bottom line: (1), by a margin of 14 meV/atom.